[1]
TiCr2Os: optimized geometry, PBE.

The value obtained for the formation energy is -11 kJ/mol of atoms. The value obtained for the excess energy over the best structure of this formula in the dataset is 31 meV/atom.

The structure belongs to space group P4/mmm (No. 123); the cell edges are 4.221, 4.221 and 2.976 Å and the angles 90.00°, 90.00° and 90.00°. The asymmetric unit holds Ti at (0.000, 0.000, 0.000), Cr at (0.000, 0.500, 0.500) and Os at (0.500, 0.500, 0.000).



[2]
TiCr2Os: optimized geometry, PBE.

The value obtained for the formation energy is -14 kJ/mol of atoms. The value obtained for the excess energy over the best structure of this formula in the dataset is 0 meV/atom.

The structure belongs to space group Fm-3m (No. 225); the cell edges are 5.957, 5.957 and 5.957 Å and the angles 90.00°, 90.00° and 90.00°. The asymmetric unit holds Ti at (0.000, 0.000, 0.000), Cr at (0.250, 0.250, 0.250) and Os at (0.000, 0.000, 0.500).



[3]
TiCrOs3: optimized geometry, PBE.

The value obtained for the formation energy is 195 kJ/mol of atoms. The value obtained for the excess energy over the best structure of this formula in the dataset is 759 meV/atom.

The structure belongs to space group Pm-3m (No. 221); the cell edges are 4.473, 4.473 and 4.473 Å and the angles 90.00°, 90.00° and 90.00°. The asymmetric unit holds Ti at (0.000, 0.000, 0.000), Cr at (0.500, 0.500, 0.500) and Os at (0.000, 0.000, 0.500).



[4]
Ti4CrOs3: optimized geometry, PBE.

The value obtained for the formation energy is -52 kJ/mol of atoms.

The structure belongs to space group P4/mmm (No. 123); the cell edges are 3.079, 3.079 and 12.355 Å and the angles 90.00°, 90.00° and 90.00°. The asymmetric unit holds Ti at (0.000, 0.000, 0.123), Ti at (0.000, 0.000, 0.374), Cr at (0.500, 0.500, 0.000), Os at (0.500, 0.500, 0.249) and Os at (0.500, 0.500, 0.500).



[5]
TiCrOs2: optimized geometry, PBE.

The value obtained for the formation energy is 47 kJ/mol of atoms.

The structure belongs to space group I-42d (No. 122); the cell edges are 6.938, 6.938 and 5.164 Å and the angles 90.00°, 90.00° and 90.00°. The asymmetric unit holds Ti at (0.000, 0.000, 0.000), Cr at (0.000, 0.000, 0.500) and Os at (0.209, 0.750, 0.625).



[6]
TiCrOs2: optimized geometry, PBE.

The value obtained for the formation energy is -22 kJ/mol of atoms.

The structure belongs to space group P4/mmm (No. 123); the cell edges are 4.319, 4.319 and 3.033 Å and the angles 90.00°, 90.00° and 90.00°. The asymmetric unit holds Ti at (0.000, 0.000, 0.000), Cr at (0.500, 0.500, 0.000) and Os at (0.000, 0.500, 0.500).



[7]
Ti5CrOs4: optimized geometry, PBE.

The value obtained for the formation energy is -55 kJ/mol of atoms.

The structure belongs to space group P4/mmm (No. 123); the cell edges are 3.081, 3.081 and 15.464 Å and the angles 90.00°, 90.00° and 90.00°. The asymmetric unit holds Ti at (0.000, 0.000, 0.000), Ti at (0.000, 0.000, 0.202), Ti at (0.000, 0.000, 0.402), Cr at (0.500, 0.500, 0.500), Os at (0.500, 0.500, 0.100) and Os at (0.500, 0.500, 0.301).



[8]
Ti5CrOs6: optimized geometry, PBE.

The value obtained for the formation energy is -52 kJ/mol of atoms.

The structure belongs to space group Immm (No. 71); the cell edges are 4.357, 6.150 and 13.060 Å and the angles 90.00°, 90.00° and 90.00°. The asymmetric unit holds Ti at (0.000, 0.000, 0.000), Ti at (0.000, 0.000, 0.337), Ti at (0.000, 0.500, 0.332), Cr at (0.000, 0.500, 0.000), Os at (0.000, 0.250, 0.166) and Os at (0.000, 0.250, 0.500).



[9]
TiVCrOs: optimized geometry, PBE.

The value obtained for the formation energy is -31 kJ/mol of atoms.

The structure belongs to space group P4mm (No. 99); the cell edges are 3.003, 3.003 and 6.067 Å and the angles 90.00°, 90.00° and 90.00°. The asymmetric unit holds Ti at (0.000, 0.000, 0.000), V at (0.000, 0.000, 0.518), Cr at (0.500, 0.500, 0.750) and Os at (0.500, 0.500, 0.267).



[10]
TlCr3Os: optimized geometry, PBE.

The value obtained for the formation energy is 113 kJ/mol of atoms. The value obtained for the excess energy over the best structure of this formula in the dataset is 0 meV/atom.

The structure belongs to space group Pm-3m (No. 221); the cell edges are 4.768, 4.768 and 4.768 Å and the angles 90.00°, 90.00° and 90.00°. The asymmetric unit holds Tl at (0.000, 0.000, 0.000), Cr at (0.000, 0.500, 0.500) and Os at (0.500, 0.500, 0.500).



[11]
TlCrOs2: optimized geometry, PBE.

The value obtained for the formation energy is 53 kJ/mol of atoms. The value obtained for the excess energy over the best structure of this formula in the dataset is 0 meV/atom.

The structure belongs to space group P4mm (No. 99); the cell edges are 2.868, 2.868 and 8.074 Å and the angles 90.00°, 90.00° and 90.00°. The asymmetric unit holds Tl at (0.000, 0.000, 0.000), Cr at (0.500, 0.500, 0.285), Os at (0.000, 0.000, 0.513) and Os at (0.500, 0.500, 0.720).



[12]
Tl2CrOs: optimized geometry, PBE.

The value obtained for the formation energy is 86 kJ/mol of atoms. The value obtained for the excess energy over the best structure of this formula in the dataset is 411 meV/atom.

The structure belongs to space group C2/m (No. 12); the cell edges are 9.203, 3.273 and 5.234 Å and the angles 90.00°, 102.44° and 90.00°. The asymmetric unit holds Tl at (0.247, 0.000, 0.245), Cr at (0.000, 0.000, 0.500) and Os at (0.000, 0.500, 0.000).



[13]
TlCr4Os: optimized geometry, PBE.

The value obtained for the formation energy is 44 kJ/mol of atoms.

The structure belongs to space group F-43m (No. 216); the cell edges are 6.883, 6.883 and 6.883 Å and the angles 90.00°, 90.00° and 90.00°. The asymmetric unit holds Tl at (0.000, 0.000, 0.000), Cr at (0.127, 0.127, 0.627) and Os at (0.250, 0.250, 0.250).



[14]
Tl2CrOs: optimized geometry, PBE.

The value obtained for the formation energy is 100 kJ/mol of atoms. The value obtained for the excess energy over the best structure of this formula in the dataset is 555 meV/atom.

The structure belongs to space group Cmmm (No. 65); the cell edges are 3.236, 5.312 and 9.284 Å and the angles 90.00°, 90.00° and 90.00°. The asymmetric unit holds Tl at (0.000, 0.000, 0.246), Cr at (0.000, 0.500, 0.500) and Os at (0.000, 0.500, 0.000).



[15]
Tl2CrOs: optimized geometry, PBE.

The value obtained for the formation energy is 93 kJ/mol of atoms. The value obtained for the excess energy over the best structure of this formula in the dataset is 484 meV/atom.

The structure belongs to space group R-3m (No. 166, hexagonal axes); the cell edges are 3.1996, 3.1996 and 26.6044 Å and the angles 90.00°, 90.00° and 120.00°. The asymmetric unit holds Tl at (0.0000, 0.0000, 0.2484), Cr at (0.0000, 0.0000, 0.0000) and Os at (0.0000, 0.0000, 0.5000).



[16]
TlCrOs2: optimized geometry, PBE.

The value obtained for the formation energy is 76 kJ/mol of atoms. The value obtained for the excess energy over the best structure of this formula in the dataset is 245 meV/atom.

The structure belongs to space group I4/mmm (No. 139); the cell edges are 3.967, 3.967 and 8.000 Å and the angles 90.00°, 90.00° and 90.00°. The asymmetric unit holds Tl at (0.000, 0.000, 0.000), Cr at (0.000, 0.000, 0.500) and Os at (0.000, 0.500, 0.250).



[17]
Tl2CrOs: optimized geometry, PBE.

The value obtained for the formation energy is 143 kJ/mol of atoms. The value obtained for the excess energy over the best structure of this formula in the dataset is 1008 meV/atom.

The structure belongs to space group I-42d (No. 122); the cell edges are 7.554, 7.554 and 5.615 Å and the angles 90.00°, 90.00° and 90.00°. The asymmetric unit holds Tl at (0.248, 0.250, 0.125), Cr at (0.000, 0.000, 0.000) and Os at (0.000, 0.000, 0.500).



[18]
TlCrOs2: optimized geometry, PBE.

The value obtained for the formation energy is 98 kJ/mol of atoms. The value obtained for the excess energy over the best structure of this formula in the dataset is 466 meV/atom.

The structure belongs to space group I-42d (No. 122); the cell edges are 7.270, 7.270 and 5.253 Å and the angles 90.00°, 90.00° and 90.00°. The asymmetric unit holds Tl at (0.000, 0.000, 0.000), Cr at (0.000, 0.000, 0.500) and Os at (0.184, 0.250, 0.625).



[19]
TlCrOs2: optimized geometry, PBE.

The value obtained for the formation energy is 79 kJ/mol of atoms. The value obtained for the excess energy over the best structure of this formula in the dataset is 273 meV/atom.

The structure belongs to space group I-4m2 (No. 119); the cell edges are 3.931, 3.931 and 8.175 Å and the angles 90.00°, 90.00° and 90.00°. The asymmetric unit holds Tl at (0.000, 0.000, 0.000), Cr at (0.000, 0.500, 0.750), Os at (0.000, 0.000, 0.500) and Os at (0.000, 0.500, 0.250).



[20]
Tl2CrOs: optimized geometry, PBE.

The value obtained for the formation energy is 75 kJ/mol of atoms. The value obtained for the excess energy over the best structure of this formula in the dataset is 300 meV/atom.

The structure belongs to space group Imm2 (No. 44); the cell edges are 3.044, 4.689 and 11.617 Å and the angles 90.00°, 90.00° and 90.00°. The asymmetric unit holds Tl at (0.000, 0.000, 0.000), Tl at (0.000, 0.500, 0.215), Cr at (0.000, 0.000, 0.407) and Os at (0.000, 0.500, 0.736).